Record 1
{
  "formula": "TcOs2PbC",
  "functional": "PBE",
  "state": "relaxed",
  "polymorph_energy_kj_per_mol_atoms": 0.0,
  "delta_e_f_ev_per_fu": 3.4,
  "lattice": [[4.1701, 0.0000, 0.0000], [0.0000, 4.1701, 0.0000], [0.0000, 0.0000, 4.3000]],
  "species": ["Tc", "Os", "Os", "Pb", "C"],
  "fractional_positions": [[0.0000, 0.0000, 0.0000], [0.0000, 0.5000, 0.5000], [0.5000, 0.0000, 0.5000], [0.5000, 0.5000, 0.0000], [0.0000, 0.0000, 0.5000]]
}

Record 2
{
  "formula": "CeHo3Co",
  "functional": "PBE",
  "state": "relaxed",
  "delta_e_f_ev_per_fu": 0.2,
  "lattice": [[5.2567, 0.0000, 0.0000], [0.0000, 5.2567, 0.0000], [0.0000, 0.0000, 5.2567]],
  "species": ["Ce", "Ho", "Ho", "Ho", "Co"],
  "fractional_positions": [[0.0000, 0.0000, 0.0000], [0.0000, 0.5000, 0.5000], [0.5000, 0.0000, 0.5000], [0.5000, 0.5000, 0.0000], [0.5000, 0.5000, 0.5000]]
}

Record 3
{
  "formula": "K2YCrS4",
  "functional": "PBE",
  "state": "relaxed",
  "formation_energy_uncorrected_ev_per_atom": -1.349,
  "lattice": [[6.6505, 0.0000, 0.0000], [0.0000, 3.8762, 0.0000], [-2.2584, 0.0000, 7.2969]],
  "species": ["K", "K", "Y", "Cr", "S", "S", "S", "S"],
  "fractional_positions": [[0.0000, 0.0000, 0.0000], [0.5000, 0.5000, 0.0000], [0.0000, 0.5000, 0.5000], [0.5000, 0.0000, 0.5000], [0.2563, 0.0000, 0.6969], [0.2968, 0.5000, 0.3167], [0.7032, 0.5000, 0.6833], [0.7437, 0.0000, 0.3031]]
}

Record 4
{
  "formula": "NdSc4Tl4",
  "functional": "PBE",
  "state": "relaxed",
  "delta_e_f_ev_per_fu": -1.0,
  "lattice": [[6.9958, 0.0000, 0.0000], [0.0000, 6.9958, 0.0000], [0.0000, 0.0000, 10.0660]],
  "species": ["Nd", "Nd", "Sc", "Sc", "Sc", "Sc", "Sc", "Sc", "Sc", "Sc", "Tl", "Tl", "Tl", "Tl", "Tl", "Tl", "Tl", "Tl"],
  "fractional_positions": [[0.2500, 0.7500, 0.2500], [0.7500, 0.2500, 0.7500], [0.0164, 0.2500, 0.1634], [0.2500, 0.0164, 0.6634], [0.2500, 0.4836, 0.6634], [0.4836, 0.2500, 0.1634], [0.5164, 0.7500, 0.8366], [0.7500, 0.5164, 0.3366], [0.7500, 0.9836, 0.3366], [0.9836, 0.7500, 0.8366], [0.0315, 0.2500, 0.4595], [0.2500, 0.0315, 0.9595], [0.2500, 0.4685, 0.9595], [0.4685, 0.2500, 0.4595], [0.5315, 0.7500, 0.5405], [0.7500, 0.5315, 0.0405], [0.7500, 0.9685, 0.0405], [0.9685, 0.7500, 0.5405]]
}

Number 1: VASP energy -8.47 eV/atom, spin magnetization 0.0 Bohr magnetons per cell. Number 2: VASP energy -5.31 eV/atom, spin magnetization 1.9 Bohr magnetons per cell. Number 3: VASP energy -5.70 eV/atom, spin magnetization 3.0 Bohr magnetons per cell. Number 4: VASP energy -4.51 eV/atom, spin magnetization 0.0 Bohr magnetons per cell.